## MnIrN2O (PBE with a Hubbard U)

Data for an optimized crystal structure of MnIrN2O.

- VASP energy (eV per atom) = -6.0311
- M_tot (μB per atom) = 0.000

Structure (extended XYZ):
```
5
Lattice="-2.844 2.253 -0.185 -1.338 -1.917 -2.780 -1.908 -2.208 2.441" Properties=species:S:1:pos:R:3 pbc="T T T"
Ir -3.045 -0.936 -0.262
O -0.954 -1.104 1.220
Mn 0.000 0.000 0.000
N -0.669 -0.959 -1.390
N -1.422 1.127 -0.092
```